# LaCeEuIn

A geometry-optimized LaCeEuIn structure (PBE-GGA, Alexandria).

Computed properties:
The value obtained for the volume is 31.9 Å³/atom. The calculated formation energy is -0.105 eV/atom. The theoretical density is 7109 kg/m3.

The structure in CIF format:
```
data_LaCeEuIn
_chemical_formula_sum 'La4 Ce4 Eu4 In4'
_symmetry_space_group_name_H-M 'F -4 3 m'
_symmetry_Int_Tables_number 216
_symmetry_space_group_name_Hall 'F -4 2 3'
_cell_length_a 7.9894
_cell_length_b 7.9894
_cell_length_c 7.9894
_cell_angle_alpha 90.00
_cell_angle_beta 90.00
_cell_angle_gamma 90.00
loop_
_atom_site_label
_atom_site_type_symbol
_atom_site_fract_x
_atom_site_fract_y
_atom_site_fract_z
_atom_site_occupancy
La1 La 0.0000 0.0000 0.0000 1
Ce1 Ce 0.0000 0.0000 0.5000 1
Eu1 Eu 0.2500 0.2500 0.2500 1
In1 In 0.2500 0.2500 0.7500 1
```

# K3RbNb

A geometry-optimized K3RbNb structure (PBE-GGA, Alexandria).

Computed properties:
The value obtained for the volume is 67.8 Å³/atom. The calculated formation energy is 0.954 eV/atom. The energy above the most stable polymorph in this dataset is 0 meV/atom. The theoretical density is 1448 kg/m3.

The structure in CIF format:
```
data_K3RbNb
_chemical_formula_sum 'K3 Rb1 Nb1'
_symmetry_space_group_name_H-M 'P m -3 m'
_symmetry_Int_Tables_number 221
_symmetry_space_group_name_Hall '-P 4 2 3'
_cell_length_a 6.9736
_cell_length_b 6.9736
_cell_length_c 6.9736
_cell_angle_alpha 90.00
_cell_angle_beta 90.00
_cell_angle_gamma 90.00
loop_
_atom_site_label
_atom_site_type_symbol
_atom_site_fract_x
_atom_site_fract_y
_atom_site_fract_z
_atom_site_occupancy
K1 K 0.0000 0.0000 0.5000 1
Rb1 Rb 0.5000 0.5000 0.5000 1
Nb1 Nb 0.0000 0.0000 0.0000 1
```

# Ce2UCoN5

A geometry-optimized Ce2UCoN5 structure (PBE-GGA, Alexandria).

Computed properties:
Its formation energy from raw total energies is -1.06 eV/atom. The value obtained for the volume is 13.2 Å³/atom. The theoretical density is 9080 kg/m3.

The structure in CIF format:
```
data_Ce2UCoN5
_chemical_formula_sum 'Ce8 U4 Co4 N20'
_symmetry_space_group_name_H-M 'C m c 21'
_symmetry_Int_Tables_number 36
_cell_length_a 3.4587
_cell_length_b 12.9691
_cell_length_c 10.5549
_cell_angle_alpha 90.00
_cell_angle_beta 90.00
_cell_angle_gamma 90.00
loop_
_symmetry_equiv_pos_as_xyz
'x,y,z'
'-x,-y,z+1/2'
'-x,y,z'
'x,-y,z+1/2'
'x+1/2,y+1/2,z'
'-x+1/2,-y+1/2,z+1/2'
'-x+1/2,y+1/2,z'
'x+1/2,-y+1/2,z+1/2'
loop_
_atom_site_label
_atom_site_type_symbol
_atom_site_fract_x
_atom_site_fract_y
_atom_site_fract_z
_atom_site_occupancy
Ce1 Ce 0.0000 0.0991 0.0000 1
Ce2 Ce 0.0000 0.1374 0.6277 1
U1 U 0.0000 0.1991 0.3298 1
Co1 Co 0.0000 0.4816 0.7657 1
N1 N 0.0000 0.0396 0.3586 1
N2 N 0.0000 0.2796 0.9676 1
N3 N 0.0000 0.3280 0.6987 1
N4 N 0.0000 0.3658 0.3097 1
N5 N 0.0000 0.4840 0.0906 1
```

# Ac2HoH

A geometry-optimized Ac2HoH structure (PBE-GGA, Alexandria).

Computed properties:
The value obtained for the volume is 30.7 Å³/atom. The energy above the most stable polymorph in this dataset is 29 meV/atom. The theoretical density is 8377 kg/m3.

The structure in CIF format:
```
data_Ac2HoH
_chemical_formula_sum 'Ac2 Ho1 H1'
_symmetry_space_group_name_H-M 'P 4/m m m'
_symmetry_Int_Tables_number 123
_symmetry_space_group_name_Hall '-P 4 2'
_cell_length_a 3.6942
_cell_length_b 3.6942
_cell_length_c 9.0042
_cell_angle_alpha 90.00
_cell_angle_beta 90.00
_cell_angle_gamma 90.00
loop_
_atom_site_label
_atom_site_type_symbol
_atom_site_fract_x
_atom_site_fract_y
_atom_site_fract_z
_atom_site_occupancy
Ac1 Ac 0.0000 0.0000 0.1998 1
Ho1 Ho 0.5000 0.5000 0.5000 1
H1 H 0.5000 0.5000 0.0000 1
```

# YAlMo2

A geometry-optimized YAlMo2 structure (PBE-GGA, Alexandria).

Computed properties:
The value obtained for the volume is 18.1 Å³/atom. The calculated formation energy is 0.261 eV/atom. The theoretical density is 7042 kg/m3.

The structure in CIF format:
```
data_YAlMo2
_chemical_formula_sum 'Y1 Al1 Mo2'
_symmetry_space_group_name_H-M 'P 4/m m m'
_symmetry_Int_Tables_number 123
_symmetry_space_group_name_Hall '-P 4 2'
_cell_length_a 2.8240
_cell_length_b 2.8240
_cell_length_c 9.0997
_cell_angle_alpha 90.00
_cell_angle_beta 90.00
_cell_angle_gamma 90.00
loop_
_atom_site_label
_atom_site_type_symbol
_atom_site_fract_x
_atom_site_fract_y
_atom_site_fract_z
_atom_site_occupancy
Y1 Y 0.0000 0.0000 0.0000 1
Al1 Al 0.0000 0.0000 0.5000 1
Mo1 Mo 0.5000 0.5000 0.2837 1
```

# Sm3SnSeBr

A geometry-optimized Sm3SnSeBr structure (PBE-GGA, Alexandria).

Computed properties:
Its formation energy from raw total energies is -1.23 eV/atom. The value obtained for the volume is 29.7 Å³/atom. The theoretical density is 6797 kg/m3.

The structure in CIF format:
```
data_Sm3SnSeBr
_chemical_formula_sum 'Sm6 Sn2 Se2 Br2'
_symmetry_space_group_name_H-M 'P 1 21/m 1'
_symmetry_Int_Tables_number 11
_cell_length_a 8.7023
_cell_length_b 4.1689
_cell_length_c 10.3229
_cell_angle_alpha 90.00
_cell_angle_beta 108.08
_cell_angle_gamma 90.00
loop_
_symmetry_equiv_pos_as_xyz
'x,y,z'
'-x,-y,-z'
'-x,y+1/2,-z'
'x,-y+1/2,z'
loop_
_atom_site_label
_atom_site_type_symbol
_atom_site_fract_x
_atom_site_fract_y
_atom_site_fract_z
_atom_site_occupancy
Sm1 Sm 0.1587 0.2500 0.4847 1
Sm2 Sm 0.1726 0.2500 0.1007 1
Sm3 Sm 0.3291 0.7500 0.8366 1
Sn1 Sn 0.0302 0.2500 0.7593 1
Se1 Se 0.4151 0.7500 0.1303 1
Br1 Br 0.4031 0.7500 0.5775 1
```

# KSbO2F

A geometry-optimized KSbO2F structure (PBE-GGA, Alexandria).

Computed properties:
Its formation energy from raw total energies is 0.02 eV/atom. The value obtained for the volume is 17.8 Å³/atom. The theoretical density is 3961 kg/m3.

The structure in CIF format:
```
data_KSbO2F
_chemical_formula_sum 'K1 Sb1 O2 F1'
_symmetry_space_group_name_H-M 'P 4/m m m'
_symmetry_Int_Tables_number 123
_symmetry_space_group_name_Hall '-P 4 2'
_cell_length_a 4.4995
_cell_length_b 4.4995
_cell_length_c 4.3868
_cell_angle_alpha 90.00
_cell_angle_beta 90.00
_cell_angle_gamma 90.00
loop_
_atom_site_label
_atom_site_type_symbol
_atom_site_fract_x
_atom_site_fract_y
_atom_site_fract_z
_atom_site_occupancy
K1 K 0.0000 0.0000 0.0000 1
Sb1 Sb 0.5000 0.5000 0.5000 1
O1 O 0.0000 0.5000 0.0000 1
F1 F 0.0000 0.0000 0.5000 1
```

# Ce5Pu2Cd2

A geometry-optimized Ce5Pu2Cd2 structure (PBE-GGA, Alexandria).

Computed properties:
The value obtained for the volume is 24.6 Å³/atom. The calculated formation energy is -0.019 eV/atom. The theoretical density is 10622 kg/m3.

The structure in CIF format:
```
data_Ce5Pu2Cd2
_chemical_formula_sum 'Ce5 Pu2 Cd2'
_symmetry_space_group_name_H-M 'P 4/m m m'
_symmetry_Int_Tables_number 123
_symmetry_space_group_name_Hall '-P 4 2'
_cell_length_a 5.1412
_cell_length_b 5.1412
_cell_length_c 8.3599
_cell_angle_alpha 90.00
_cell_angle_beta 90.00
_cell_angle_gamma 90.00
loop_
_atom_site_label
_atom_site_type_symbol
_atom_site_fract_x
_atom_site_fract_y
_atom_site_fract_z
_atom_site_occupancy
Ce1 Ce 0.0000 0.0000 0.0000 1
Ce2 Ce 0.0000 0.5000 0.2706 1
Pu1 Pu 0.0000 0.0000 0.3608 1
Cd1 Cd 0.5000 0.5000 0.0000 1
Cd2 Cd 0.5000 0.5000 0.5000 1
```

# Bi2H3Pd8

A geometry-optimized Bi2H3Pd8 structure (PBE-GGA, Alexandria).

Computed properties:
The value obtained for the volume is 15.1 Å³/atom. As for the total energy: -60.54 eV/f.u. The theoretical density is 10790 kg/m3.

The structure in CIF format:
```
data_Bi2H3Pd8
_chemical_formula_sum 'Bi4 H6 Pd16'
_symmetry_space_group_name_H-M 'C 1 2/m 1'
_symmetry_Int_Tables_number 12
_cell_length_a 13.0565
_cell_length_b 7.0109
_cell_length_c 4.5426
_cell_angle_alpha 90.00
_cell_angle_beta 109.65
_cell_angle_gamma 90.00
loop_
_symmetry_equiv_pos_as_xyz
'x,y,z'
'-x,-y,-z'
'-x,y,-z'
'x,-y,z'
'x+1/2,y+1/2,z'
'-x+1/2,-y+1/2,-z'
'-x+1/2,y+1/2,-z'
'x+1/2,-y+1/2,z'
loop_
_atom_site_label
_atom_site_type_symbol
_atom_site_fract_x
_atom_site_fract_y
_atom_site_fract_z
_atom_site_occupancy
Bi1 Bi 0.2260 0.0000 0.4796 1
H1 H 0.0000 0.1497 0.0000 1
H2 H 0.0000 0.5000 0.5000 1
Pd1 Pd 0.0718 0.2922 0.3290 1
Pd2 Pd 0.0945 0.0000 0.8467 1
Pd3 Pd 0.1409 0.5000 0.8887 1
```

# CaBe2Au

A geometry-optimized CaBe2Au structure (PBE-GGA, Alexandria).

Computed properties:
The value obtained for the volume is 16.5 Å³/atom. The calculated formation energy is 0.076 eV/atom. The energy above the most stable polymorph in this dataset is 352 meV/atom. The theoretical density is 6410 kg/m3.

The structure in CIF format:
```
data_CaBe2Au
_chemical_formula_sum 'Ca1 Be2 Au1'
_symmetry_space_group_name_H-M 'P 4/m m m'
_symmetry_Int_Tables_number 123
_symmetry_space_group_name_Hall '-P 4 2'
_cell_length_a 3.1614
_cell_length_b 3.1614
_cell_length_c 6.6115
_cell_angle_alpha 90.00
_cell_angle_beta 90.00
_cell_angle_gamma 90.00
loop_
_atom_site_label
_atom_site_type_symbol
_atom_site_fract_x
_atom_site_fract_y
_atom_site_fract_z
_atom_site_occupancy
Ca1 Ca 0.0000 0.0000 0.0000 1
Be1 Be 0.5000 0.5000 0.3252 1
Au1 Au 0.0000 0.0000 0.5000 1
```

# Ce3NiSe6

A geometry-optimized Ce3NiSe6 structure (PBE-GGA, Alexandria).

Computed properties:
Its formation energy from raw total energies is -1.44 eV/atom. The value obtained for the volume is 26.1 Å³/atom. The energy above the most stable polymorph in this dataset is 0 meV/atom. The theoretical density is 6056 kg/m3.

The structure in CIF format:
```
data_Ce3NiSe6
_chemical_formula_sum 'Ce12 Ni4 Se24'
_symmetry_space_group_name_H-M 'C m c 21'
_symmetry_Int_Tables_number 36
_cell_length_a 11.3627
_cell_length_b 13.8958
_cell_length_c 6.6181
_cell_angle_alpha 90.00
_cell_angle_beta 90.00
_cell_angle_gamma 90.00
loop_
_symmetry_equiv_pos_as_xyz
'x,y,z'
'-x,-y,z+1/2'
'-x,y,z'
'x,-y,z+1/2'
'x+1/2,y+1/2,z'
'-x+1/2,-y+1/2,z+1/2'
'-x+1/2,y+1/2,z'
'x+1/2,-y+1/2,z+1/2'
loop_
_atom_site_label
_atom_site_type_symbol
_atom_site_fract_x
_atom_site_fract_y
_atom_site_fract_z
_atom_site_occupancy
Ce1 Ce 0.0000 0.1127 0.0000 1
Ce2 Ce 0.1738 0.3956 0.9096 1
Ni1 Ni 0.0000 0.3038 0.3286 1
Se1 Se 0.0000 0.2783 0.6965 1
Se2 Se 0.0000 0.4647 0.2166 1
Se3 Se 0.1622 0.0280 0.7041 1
Se4 Se 0.1712 0.2349 0.1906 1
```

The following M_tot values (in μB/atom) correspond, in order, to the records above: 2.232, 1.078, 0.000, 0.000, 0.000, 0.084, 0.207, 0.443, 0.000, 0.000, 0.016.